No. 1
VASP calculation (GGA-PBE) on a relaxed Sr2LiAs4Rh3 crystal.

```
data_Sr2LiAs4Rh3
_space_group_name_H-M_alt 'P -4 m 2'
_space_group_IT_number 115
_space_group_name_Hall 'P -4 -2'
_cell_length_a 4.402
_cell_length_b 4.402
_cell_length_c 10.074
_cell_angle_alpha 90.00
_cell_angle_beta 90.00
_cell_angle_gamma 90.00
loop_
_atom_site_label
_atom_site_type_symbol
_atom_site_fract_x
_atom_site_fract_y
_atom_site_fract_z
Sr1 Sr 0.000 0.500 0.249
Li1 Li 0.000 0.000 0.500
As1 As 0.000 0.000 0.000
As2 As 0.000 0.500 0.632
As3 As 0.500 0.500 0.000
Rh1 Rh 0.000 0.500 0.881
Rh2 Rh 0.500 0.500 0.500
```

***

No. 2
VASP calculation (GGA-PBE) on a relaxed Sr2LiAs2Rh crystal.

```
data_Sr2LiAs2Rh
_space_group_name_H-M_alt 'I b a m'
_space_group_IT_number 72
_space_group_name_Hall '-I 2 2c'
_cell_length_a 6.185
_cell_length_b 14.903
_cell_length_c 6.020
_cell_angle_alpha 90.00
_cell_angle_beta 90.00
_cell_angle_gamma 90.00
loop_
_atom_site_label
_atom_site_type_symbol
_atom_site_fract_x
_atom_site_fract_y
_atom_site_fract_z
Sr1 Sr 0.246 0.162 0.000
Li1 Li 0.000 0.500 0.250
As1 As 0.242 0.101 0.500
Rh1 Rh 0.000 0.000 0.250
```

***

No. 3
VASP calculation (GGA-PBE) on a relaxed SrLiAs2Rh crystal.

```
data_SrLiAs2Rh
_space_group_name_H-M_alt 'I -4 m 2'
_space_group_IT_number 119
_space_group_name_Hall 'I -4 -2'
_cell_length_a 4.247
_cell_length_b 4.247
_cell_length_c 10.780
_cell_angle_alpha 90.00
_cell_angle_beta 90.00
_cell_angle_gamma 90.00
loop_
_atom_site_label
_atom_site_type_symbol
_atom_site_fract_x
_atom_site_fract_y
_atom_site_fract_z
Sr1 Sr 0.000 0.000 0.000
Li1 Li 0.000 0.500 0.750
As1 As 0.000 0.000 0.375
Rh1 Rh 0.000 0.500 0.250
```

***

no.,VASP energy (eV per atom),size of the total moment (μB/atom),density (g/cm3)
1,-5.362,0.00,6.72
2,-4.471,0.00,5.21
3,-4.859,0.00,5.93